Version i
A plane-wave DFT calculation with PBE was carried out for an optimized crystal structure of TiRe2H.

Its symmetry is No. 141. The calculation puts the size of the total moment at 0.00 μB/f.u. The density of states at the Fermi level is 0.903 states/eV per atom.

abc: 5.3956 5.3956 5.3889
angles: 59.96 59.96 90.00
Sites, in units of the cell vectors:
Ti  0.7500  0.2500  0.5000
Ti  0.0000  0.0000  0.0000
Re  0.8750  0.6250  0.7500
Re  0.3750  0.6250  0.7500
Re  0.3750  0.6250  0.2500
H  0.5000  0.5000  0.0000
H  0.2500  0.7500  0.5000
Re  0.3750  0.1250  0.2500

Version ii
A plane-wave DFT calculation with PBE was carried out for an optimized crystal structure of TiRe2H.

Its symmetry is No. 225. The calculation puts the size of the total moment at 0.00 μB/f.u. The density of states at the Fermi level is 1.353 states/eV per atom.

abc: 4.2078 4.2078 4.2078
angles: 60.00 60.00 60.00
Sites, in units of the cell vectors:
Re  0.2500  0.2500  0.2500
Ti  0.5000  0.5000  0.5000
H  0.0000  0.0000  0.0000
Re  0.7500  0.7500  0.7500

Out of the structures above, which one is the least stable? Solution: version ii.